# 1
The following is a GGA-PBE calculation of a geometry-optimized HfTl3Fe structure, from Alexandria via LeMat-Bulk.

```
5
Lattice="5.003 0.000 0.000 0.000 5.003 0.000 0.000 0.000 5.003" Properties=species:S:1:pos:R:3 pbc="T T T"
Hf 0.000 0.000 0.000
Tl 0.000 2.502 2.502
Tl 2.502 0.000 2.502
Tl 2.502 2.502 0.000
Fe 2.502 2.502 2.502
```

***

# 2
The following is a GGA-PBE calculation of a geometry-optimized HfTl2Fe structure, from Alexandria via LeMat-Bulk.

```
4
Lattice="0.000 3.386 3.386 3.386 0.000 3.386 3.386 3.386 0.000" Properties=species:S:1:pos:R:3 pbc="T T T"
Hf 0.000 0.000 0.000
Tl 1.693 1.693 1.693
Tl 5.079 5.079 5.079
Fe 3.386 3.386 3.386
```

***

# 3
The following is a GGA-PBE calculation of a geometry-optimized TmHfFe10 structure, from Alexandria via LeMat-Bulk.

```
12
Lattice="3.951 0.000 0.000 0.000 4.893 0.000 0.000 0.000 8.443" Properties=species:S:1:pos:R:3 pbc="T T T"
Tm 0.000 0.000 0.000
Hf 0.000 2.447 4.221
Fe 0.000 0.000 2.853
Fe 0.000 0.000 5.590
Fe 0.000 2.447 1.445
Fe 0.000 2.447 6.997
Fe 1.975 0.000 4.221
Fe 1.975 1.235 2.152
Fe 1.975 1.235 6.291
Fe 1.975 2.447 0.000
Fe 1.975 3.658 2.152
Fe 1.975 3.658 6.291
```

***

# 4
The following is a GGA-PBE calculation of a geometry-optimized TmHfFe structure, from Alexandria via LeMat-Bulk.

```
18
Lattice="6.797 0.000 0.000 0.000 4.331 0.000 -0.024 0.000 12.202" Properties=species:S:1:pos:R:3 pbc="T T T"
Tm 0.041 1.083 3.510
Tm 2.579 1.083 1.064
Tm 3.276 1.083 4.622
Tm 3.497 3.249 7.580
Tm 4.194 3.249 11.138
Tm 6.732 3.249 8.691
Hf 0.276 3.249 1.053
Hf 0.976 3.249 5.603
Hf 2.261 1.083 9.621
Hf 4.511 3.249 2.581
Hf 5.797 1.083 6.599
Hf 6.497 1.083 11.149
Fe 1.316 3.249 10.954
Fe 1.541 1.083 6.984
Fe 2.040 3.249 3.025
Fe 4.733 1.083 9.177
Fe 5.231 3.249 5.218
Fe 5.457 1.083 1.248
```

***

# 5
The following is a GGA-PBE calculation of a geometry-optimized TmHfFe2 structure, from Alexandria via LeMat-Bulk.

```
4
Lattice="0.000 3.193 3.193 3.193 0.000 3.193 3.193 3.193 0.000" Properties=species:S:1:pos:R:3 pbc="T T T"
Tm 0.000 0.000 0.000
Hf 3.193 3.193 3.193
Fe 1.597 1.597 1.597
Fe 4.790 4.790 4.790
```

***

# 6
The following is a GGA-PBE calculation of a geometry-optimized TmHfFe structure, from Alexandria via LeMat-Bulk.

```
3
Lattice="-1.627 1.627 5.785 1.627 -1.627 5.785 1.627 1.627 -5.785" Properties=species:S:1:pos:R:3 pbc="T T T"
Tm 0.000 0.000 0.000
Hf 0.000 0.000 3.103
Fe 0.000 0.000 7.600
```

***

# 7
The following is a GGA-PBE calculation of a geometry-optimized TmHf2Fe9 structure, from Alexandria via LeMat-Bulk.

```
12
Lattice="2.479 1.431 7.922 -2.479 1.431 7.922 0.000 -2.862 7.922" Properties=species:S:1:pos:R:3 pbc="T T T"
Tm 0.000 0.000 0.000
Hf 0.000 0.000 3.388
Hf 0.000 0.000 20.377
Fe -1.251 -0.722 9.934
Fe 0.000 0.000 7.915
Fe 0.000 -1.444 13.832
Fe -1.251 0.722 13.832
Fe 0.000 0.000 11.883
Fe 1.251 -0.722 9.934
Fe 0.000 1.444 9.934
Fe 0.000 0.000 15.850
Fe 1.251 0.722 13.832
```

***

# 8
The following is a GGA-PBE calculation of a geometry-optimized TmHfFe2 structure, from Alexandria via LeMat-Bulk.

```
4
Lattice="3.194 0.000 0.000 0.000 3.194 0.000 0.000 0.000 6.453" Properties=species:S:1:pos:R:3 pbc="T T T"
Tm 0.000 0.000 0.000
Hf 0.000 0.000 3.226
Fe 1.597 1.597 1.753
Fe 1.597 1.597 4.700
```

***

# 9
The following is a GGA-PBE calculation of a geometry-optimized TmHf3Fe8 structure, from Alexandria via LeMat-Bulk.

```
12
Lattice="2.485 1.435 8.134 -2.485 1.435 8.134 0.000 -2.870 8.134" Properties=species:S:1:pos:R:3 pbc="T T T"
Tm 0.000 0.000 0.000
Hf 0.000 0.000 9.172
Hf 0.000 0.000 12.200
Hf 0.000 0.000 21.334
Fe 0.000 0.000 4.574
Fe 0.000 -1.431 14.710
Fe -1.239 0.716 14.710
Fe -1.237 -0.714 18.839
Fe 0.000 0.000 16.778
Fe 1.240 0.716 14.710
Fe 1.237 -0.714 18.839
Fe 0.000 1.428 18.839
```

***

# 10
The following is a GGA-PBE calculation of a geometry-optimized Tm2HfFe9 structure, from Alexandria via LeMat-Bulk.

```
12
Lattice="2.485 1.435 8.043 -2.485 1.435 8.043 0.000 -2.869 8.043" Properties=species:S:1:pos:R:3 pbc="T T T"
Tm 0.000 0.000 3.408
Tm 0.000 0.000 20.722
Hf 0.000 0.000 0.000
Fe -1.245 -0.719 10.001
Fe 0.000 0.000 8.035
Fe 0.000 -1.438 14.129
Fe -1.245 0.719 14.129
Fe 0.000 0.000 12.065
Fe 1.245 -0.719 10.001
Fe 0.000 1.438 10.001
Fe 0.000 0.000 16.095
Fe 1.245 0.719 14.129
```

***

# 11
The following is a GGA-PBE calculation of a geometry-optimized TmHfFe4 structure, from Alexandria via LeMat-Bulk.

```
6
Lattice="0.000 3.543 3.543 3.543 0.000 3.543 3.543 3.543 0.000" Properties=species:S:1:pos:R:3 pbc="T T T"
Tm 0.000 0.000 0.000
Hf 1.771 1.771 1.771
Fe 4.427 2.659 2.659
Fe 2.659 4.427 2.659
Fe 2.659 2.659 4.427
Fe 4.427 4.427 4.427
```

***

# 12
The following is a GGA-PBE calculation of a geometry-optimized TmHfZnFe structure, from Alexandria via LeMat-Bulk.

```
4
Lattice="0.000 3.304 3.304 3.304 0.000 3.304 3.304 3.304 0.000" Properties=species:S:1:pos:R:3 pbc="T T T"
Tm 0.000 0.000 0.000
Hf 3.304 3.304 3.304
Zn 4.956 4.956 4.956
Fe 1.652 1.652 1.652
```

***

no.,formation energy (meV/atom),raw total energy (eV/atom)
1,874,-4.229
2,589,-5.198
3,-80,-8.334
4,-60,-7.689
5,-67,-7.905
6,-23,-7.652
7,-232,-8.610
8,-99,-7.937
9,-292,-8.795
10,-117,-8.039
11,-238,-8.284
12,-118,-6.158